Material: CsFe2SbCl8
Method: DFT, PBE
State: relaxed

The structure in POSCAR format:
```
CsFe2SbCl8
1.0
-0.481 -4.811 -5.201
0.613 -7.425 1.963
-8.098 -5.156 0.670
Fe Cl Cs Sb
2 8 1 1
Direct
0.298 0.239 0.165
0.702 0.761 0.835
0.856 0.004 0.775
0.866 0.613 0.654
0.677 0.559 0.088
0.365 0.004 0.775
0.635 0.996 0.225
0.144 0.996 0.225
0.323 0.441 0.912
0.134 0.387 0.346
0.500 0.500 0.500
0.000 0.000 0.000
```

Output
The density comes out at 2.66 g/cm³. As for the uncorrected formation energy: -21.1 kcal/mol of atoms.

Material: KNbCdFeBr
Method: DFT, PBE
State: relaxed

The structure in POSCAR format:
```
KNbCdFeBr
1.0
-5.364 6.928 -1.384
-2.428 -1.434 2.229
5.011 2.643 7.158
Nb Fe Br Cd K
2 2 2 2 2
Direct
0.206 0.000 0.593
0.206 0.500 0.093
0.065 0.000 0.145
0.065 0.500 0.645
0.505 0.000 0.719
0.505 0.500 0.219
0.036 0.000 0.851
0.036 0.500 0.351
0.724 0.000 0.480
0.724 0.500 0.980
```

Output
The density comes out at 4.46 g/cm³. As for the uncorrected formation energy: 0.7 kcal/mol of atoms.

Material: Rb2CdNCl6
Method: DFT, PBE
State: relaxed

The structure in POSCAR format:
```
Rb2CdNCl6
1.0
-7.713 0.374 -2.427
1.913 -4.102 -6.711
-3.765 -5.778 -2.423
Rb Cd Cl N
2 1 6 1
Direct
0.250 0.750 0.500
0.750 0.250 0.500
0.000 0.000 0.000
0.223 0.223 0.000
0.303 0.303 0.394
0.223 0.777 0.000
0.777 0.777 0.000
0.697 0.697 0.606
0.777 0.223 0.000
0.500 0.500 0.000
```

Output
The density comes out at 2.84 g/cm³. As for the uncorrected formation energy: -14.0 kcal/mol of atoms.

What is the formula in the first record?
CsFe2SbCl8

Which of these has the lowest uncorrected formation energy?
CsFe2SbCl8

Among the records above, which one has the lowest uncorrected formation energy?
CsFe2SbCl8

What is the uncorrected formation energy in the first record?
-21.1 kcal/mol of atoms